Density functional theory data (PBE-GGA) for a relaxed structure of Cs7TeAu2Br2.

DFT total energy in eV/f.u.: -29.505
Crystal system: orthorhombic
ΔE_f (raw) in eV/atom: -0.8740
Magnetization in μB per cell: 0.00

Cell: 14.626 14.626 14.626 Å, 151.35 39.81 152.94°
Element x y z (fractional)
Cs 0.000 0.000 0.000
Cs 0.060 0.203 0.858
Cs 0.345 0.203 0.142
Cs 0.453 0.694 0.760
Cs 0.579 0.161 0.418
Cs 0.742 0.161 0.582
Cs 0.934 0.694 0.240
Te 0.166 0.666 0.500
Au 0.466 0.191 0.275
Au 0.916 0.191 0.725
Br 0.594 0.700 0.893
Br 0.807 0.700 0.107



Density functional theory data (PBE-GGA) for a relaxed structure of Zr2TlPd9.

DFT total energy in eV/f.u.: -73.860
Crystal system: tetragonal
Magnetization in μB per cell: 0.00
Formation enthalpy at 0 K in eV/atom: -0.639

Cell: 4.049 4.049 12.193 Å, 90.00 90.00 90.00°
Element x y z (fractional)
Zr 0.000 0.000 0.167
Zr 0.000 0.000 0.833
Tl 0.000 0.000 0.500
Pd 0.000 0.500 0.000
Pd 0.000 0.500 0.326
Pd 0.000 0.500 0.674
Pd 0.500 0.000 0.000
Pd 0.500 0.000 0.326
Pd 0.500 0.000 0.674
Pd 0.500 0.500 0.164
Pd 0.500 0.500 0.500
Pd 0.500 0.500 0.836



Density functional theory data (PBE-GGA) for a relaxed structure of CaCuRe2.

DFT total energy in eV/f.u.: -28.161
Distance to the lowest polymorph of the same formula in meV/atom: 425
Crystal system: orthorhombic
Magnetization in μB per cell: 0.00
Formation enthalpy at 0 K in eV/atom: 0.708

Cell: 5.474 5.474 2.579 Å, 90.00 90.00 121.06°
Element x y z (fractional)
Ca 0.000 0.000 0.000
Cu 0.500 0.500 0.000
Re 0.000 0.500 0.500
Re 0.500 0.000 0.500



Density functional theory data (PBE-GGA) for a relaxed structure of CuSb2IN.

DFT total energy in eV/f.u.: -14.288
Distance to the lowest polymorph of the same formula in meV/atom: 618
Crystal system: tetragonal
ΔE_f (raw) in eV/atom: 1.5857
Magnetization in μB per cell: 0.00

Cell: 5.043 5.043 5.135 Å, 90.00 90.00 90.00°
Element x y z (fractional)
Cu 0.000 0.000 0.000
Sb 0.000 0.500 0.000
Sb 0.500 0.000 0.000
I 0.000 0.000 0.500
N 0.500 0.500 0.500



Density functional theory data (PBE-GGA) for a relaxed structure of SrNbO2.

DFT total energy in eV/f.u.: -26.455
Distance to the lowest polymorph of the same formula in meV/atom: 865
Crystal system: cubic
ΔE_f (raw) in eV/atom: -1.1968
Magnetization in μB per cell: 1.02

Cell: 4.188 4.188 4.188 Å, 60.00 60.00 60.00°
Element x y z (fractional)
Sr 0.000 0.000 0.000
Nb 0.500 0.500 0.500
O 0.250 0.250 0.250
O 0.750 0.750 0.750



Density functional theory data (PBE-GGA) for a relaxed structure of InGeS2.

DFT total energy in eV/f.u.: -16.798
Crystal system: monoclinic
ΔE_f (raw) in eV/atom: -0.2969
Magnetization in μB per cell: 0.00

Cell: 4.068 3.877 5.726 Å, 90.00 93.26 90.00°
Element x y z (fractional)
In 0.000 0.000 0.000
Ge 0.466 0.500 0.517
S 0.064 0.000 0.486
S 0.506 0.500 0.957



Density functional theory data (PBE-GGA) for a relaxed structure of PuCuAu.

DFT total energy in eV/f.u.: -21.542
Distance to the lowest polymorph of the same formula in meV/atom: 328
Crystal system: orthorhombic
Magnetization in μB per cell: 6.40
Formation enthalpy at 0 K in eV/atom: 0.055

Cell: 3.142 4.130 5.062 Å, 90.00 90.00 90.00°
Element x y z (fractional)
Pu 0.000 0.000 0.000
Cu 0.500 0.000 0.500
Au 0.000 0.500 0.500



Density functional theory data (PBE-GGA) for a relaxed structure of Ag3Pb.

DFT total energy in eV/f.u.: -11.983
Crystal system: orthorhombic
Magnetization in μB per cell: 0.00
Formation enthalpy at 0 K in eV/atom: 0.070

Cell: 3.433 3.652 6.688 Å, 90.00 90.00 90.00°
Element x y z (fractional)
Ag 0.000 0.000 0.000
Ag 0.500 0.500 0.219
Ag 0.500 0.500 0.781
Pb 0.000 0.000 0.500



Density functional theory data (PBE-GGA) for a relaxed structure of PmInAsAu.

DFT total energy in eV/f.u.: -17.601
Crystal system: cubic
Magnetization in μB per cell: 0.00
Formation enthalpy at 0 K in eV/atom: -0.546

Cell: 5.108 5.108 5.108 Å, 60.00 60.00 60.00°
Element x y z (fractional)
Pm 0.000 0.000 0.000
In 0.500 0.500 0.500
As 0.250 0.250 0.250
Au 0.750 0.750 0.750



Density functional theory data (PBE-GGA) for a relaxed structure of CrCd2As.

DFT total energy in eV/f.u.: -15.260
Crystal system: tetragonal
Magnetization in μB per cell: 3.97
Formation enthalpy at 0 K in eV/atom: 0.211

Cell: 4.095 4.095 4.685 Å, 90.00 90.00 90.00°
Element x y z (fractional)
Cr 0.000 0.000 0.000
Cd 0.000 0.500 0.500
Cd 0.500 0.000 0.500
As 0.500 0.500 0.000



Density functional theory data (PBE-GGA) for a relaxed structure of CrReHg2.

DFT total energy in eV/f.u.: -19.480
Distance to the lowest polymorph of the same formula in meV/atom: 370
Crystal system: monoclinic
Magnetization in μB per cell: 2.82
Formation enthalpy at 0 K in eV/atom: 0.799

Cell: 5.024 5.024 5.140 Å, 99.46 99.46 33.85°
Element x y z (fractional)
Cr 0.000 0.000 0.000
Re 0.500 0.500 0.500
Hg 0.251 0.251 0.750
Hg 0.749 0.749 0.250



Please write out number 9 again, unchanged.
Density functional theory data (PBE-GGA) for a relaxed structure of PmInAsAu.

DFT total energy in eV/f.u.: -17.601
Crystal system: cubic
Magnetization in μB per cell: 0.00
Formation enthalpy at 0 K in eV/atom: -0.546

Cell: 5.108 5.108 5.108 Å, 60.00 60.00 60.00°
Element x y z (fractional)
Pm 0.000 0.000 0.000
In 0.500 0.500 0.500
As 0.250 0.250 0.250
Au 0.750 0.750 0.750



Please write out number 1 again, unchanged.
Density functional theory data (PBE-GGA) for a relaxed structure of Cs7TeAu2Br2.

DFT total energy in eV/f.u.: -29.505
Crystal system: orthorhombic
ΔE_f (raw) in eV/atom: -0.8740
Magnetization in μB per cell: 0.00

Cell: 14.626 14.626 14.626 Å, 151.35 39.81 152.94°
Element x y z (fractional)
Cs 0.000 0.000 0.000
Cs 0.060 0.203 0.858
Cs 0.345 0.203 0.142
Cs 0.453 0.694 0.760
Cs 0.579 0.161 0.418
Cs 0.742 0.161 0.582
Cs 0.934 0.694 0.240
Te 0.166 0.666 0.500
Au 0.466 0.191 0.275
Au 0.916 0.191 0.725
Br 0.594 0.700 0.893
Br 0.807 0.700 0.107



What did the tenth record say?
Density functional theory data (PBE-GGA) for a relaxed structure of CrCd2As.

DFT total energy in eV/f.u.: -15.260
Crystal system: tetragonal
Magnetization in μB per cell: 3.97
Formation enthalpy at 0 K in eV/atom: 0.211

Cell: 4.095 4.095 4.685 Å, 90.00 90.00 90.00°
Element x y z (fractional)
Cr 0.000 0.000 0.000
Cd 0.000 0.500 0.500
Cd 0.500 0.000 0.500
As 0.500 0.500 0.000